PH2Rh | PBE | relaxed

CIF file:
```
data_PH2Rh
_cell_length_a 6.7751
_cell_length_b 6.7751
_cell_length_c 6.7751
_cell_angle_alpha 150.56
_cell_angle_beta 150.56
_cell_angle_gamma 42.12
_symmetry_space_group_name_H-M 'P 1'
_symmetry_Int_Tables_number 1
loop_
_symmetry_equiv_pos_as_xyz
'x,y,z'
loop_
_atom_site_label
_atom_site_fract_x
_atom_site_fract_y
_atom_site_fract_z
_atom_site_occupancy
P1 0.0000 0.0000 0.0000 1
P2 0.7500 0.2500 0.5000 1
H1 0.1562 0.6250 0.0312 1
H2 0.3750 0.4062 0.5312 1
H3 0.5938 0.1250 0.9688 1
H4 0.8750 0.8438 0.4688 1
Rh1 0.2500 0.7500 0.5000 1
Rh2 0.5000 0.5000 0.0000 1
```

Values from the calculation:
N(E_F) (states/eV/cell): 4.74
Polymorph energy (0 for the lowest one) (eV per atom): 0.000

PHRh2 | PBE | relaxed

CIF file:
```
data_PHRh2
_cell_length_a 6.3737
_cell_length_b 6.3737
_cell_length_c 6.3737
_cell_angle_alpha 26.49
_cell_angle_beta 26.49
_cell_angle_gamma 26.49
_symmetry_space_group_name_H-M 'P 1'
_symmetry_Int_Tables_number 1
loop_
_symmetry_equiv_pos_as_xyz
'x,y,z'
loop_
_atom_site_label
_atom_site_fract_x
_atom_site_fract_y
_atom_site_fract_z
_atom_site_occupancy
P1 0.0000 0.0000 0.0000 1
H1 0.8132 0.8132 0.8132 1
Rh1 0.4268 0.4268 0.4268 1
Rh2 0.5781 0.5781 0.5781 1
```

Values from the calculation:
N(E_F) (states/eV/cell): 2.35
Polymorph energy (0 for the lowest one) (eV per atom): 0.084

PHRh2 | PBE | relaxed

CIF file:
```
data_PHRh2
_cell_length_a 3.9672
_cell_length_b 3.9672
_cell_length_c 3.9672
_cell_angle_alpha 60.00
_cell_angle_beta 60.00
_cell_angle_gamma 60.00
_symmetry_space_group_name_H-M 'P 1'
_symmetry_Int_Tables_number 1
loop_
_symmetry_equiv_pos_as_xyz
'x,y,z'
loop_
_atom_site_label
_atom_site_fract_x
_atom_site_fract_y
_atom_site_fract_z
_atom_site_occupancy
P1 0.0000 0.0000 0.0000 1
H1 0.5000 0.5000 0.5000 1
Rh1 0.2500 0.2500 0.2500 1
Rh2 0.7500 0.7500 0.7500 1
```

Values from the calculation:
N(E_F) (states/eV/cell): 0.12
Polymorph energy (0 for the lowest one) (eV per atom): 0.086

PHRh2 | PBE | relaxed

CIF file:
```
data_PHRh2
_cell_length_a 5.4724
_cell_length_b 5.4724
_cell_length_c 5.4724
_cell_angle_alpha 127.47
_cell_angle_beta 127.47
_cell_angle_gamma 77.48
_symmetry_space_group_name_H-M 'P 1'
_symmetry_Int_Tables_number 1
loop_
_symmetry_equiv_pos_as_xyz
'x,y,z'
loop_
_atom_site_label
_atom_site_fract_x
_atom_site_fract_y
_atom_site_fract_z
_atom_site_occupancy
P1 0.0000 0.0000 0.0000 1
P2 0.7500 0.2500 0.5000 1
H1 0.2500 0.7500 0.5000 1
H2 0.5000 0.5000 0.0000 1
Rh1 0.1944 0.6250 0.0694 1
Rh2 0.3750 0.4444 0.5694 1
Rh3 0.5556 0.1250 0.9306 1
Rh4 0.8750 0.8056 0.4306 1
```

Values from the calculation:
N(E_F) (states/eV/cell): 0.00
Polymorph energy (0 for the lowest one) (eV per atom): 0.000

PHRh | PBE | relaxed

CIF file:
```
data_PHRh
_cell_length_a 4.2144
_cell_length_b 4.2144
_cell_length_c 4.2144
_cell_angle_alpha 139.03
_cell_angle_beta 134.31
_cell_angle_gamma 63.02
_symmetry_space_group_name_H-M 'P 1'
_symmetry_Int_Tables_number 1
loop_
_symmetry_equiv_pos_as_xyz
'x,y,z'
loop_
_atom_site_label
_atom_site_fract_x
_atom_site_fract_y
_atom_site_fract_z
_atom_site_occupancy
P1 0.0000 0.0000 0.0000 1
H1 0.6757 0.6757 0.0000 1
Rh1 0.2545 0.7545 0.5000 1
```

Values from the calculation:
N(E_F) (states/eV/cell): 0.36
Polymorph energy (0 for the lowest one) (eV per atom): 0.000

PH2Rh | PBE | relaxed

CIF file:
```
data_PH2Rh
_cell_length_a 3.6774
_cell_length_b 3.6774
_cell_length_c 3.6774
_cell_angle_alpha 60.00
_cell_angle_beta 60.00
_cell_angle_gamma 60.00
_symmetry_space_group_name_H-M 'P 1'
_symmetry_Int_Tables_number 1
loop_
_symmetry_equiv_pos_as_xyz
'x,y,z'
loop_
_atom_site_label
_atom_site_fract_x
_atom_site_fract_y
_atom_site_fract_z
_atom_site_occupancy
P1 0.0000 0.0000 0.0000 1
H1 0.2500 0.2500 0.2500 1
H2 0.7500 0.7500 0.7500 1
Rh1 0.5000 0.5000 0.5000 1
```

Values from the calculation:
N(E_F) (states/eV/cell): 2.46
Polymorph energy (0 for the lowest one) (eV per atom): 0.355